(1)
First-principles (PBE-GGA) data for an optimized crystal structure of Y2CuSi, as listed in Alexandria via LeMat-Bulk.

**Density of states at the Fermi level**: 1.136 states/eV per atom
**Final energy**: -6.043 eV/atom
**Calculated volume**: 24.050 Å³ per atom

The structure in POSCAR format:
```
Y2CuSi
1.0
-1.949 3.982 5.727
0.204 0.909 7.182
2.071 4.103 5.597
Si Y Cu
1 2 1
Direct
0.798 0.798 0.798
0.032 0.032 0.032
0.219 0.219 0.219
0.451 0.451 0.451
```

---

(2)
First-principles (PBE-GGA) data for an optimized crystal structure of YCuSi, as listed in Alexandria via LeMat-Bulk.

**Density of states at the Fermi level**: 0.604 states/eV per atom
**Final energy**: -5.848 eV/atom
**Calculated volume**: 18.948 Å³ per atom

The structure in POSCAR format:
```
YCuSi
1.0
-3.165 -1.225 -1.951
1.813 -3.519 -0.731
-2.734 -2.679 6.116
Cu Y Si
2 2 2
Direct
0.972 0.218 0.282
0.971 0.718 0.460
0.471 0.218 0.630
0.471 0.718 0.112
0.971 0.218 0.959
0.971 0.718 0.783
```

---

(3)
First-principles (PBE-GGA) data for an optimized crystal structure of Y2CuSi, as listed in Alexandria via LeMat-Bulk.

**Density of states at the Fermi level**: 0.786 states/eV per atom
**Final energy**: -6.167 eV/atom
**Calculated volume**: 22.306 Å³ per atom

The structure in POSCAR format:
```
Y2CuSi
1.0
4.087 0.000 0.000
0.000 4.075 0.006
0.000 2.028 5.360
Cu Si Y
1 1 2
Direct
0.000 0.692 0.491
0.500 0.555 0.766
0.000 0.987 0.902
0.500 0.267 0.341
```

---

(4)
First-principles (PBE-GGA) data for an optimized crystal structure of YCuSi3, as listed in Alexandria via LeMat-Bulk.

**Density of states at the Fermi level**: 0.736 states/eV per atom
**Final energy**: -3.908 eV/atom
**Calculated volume**: 29.574 Å³ per atom

The structure in POSCAR format:
```
YCuSi3
1.0
5.288 0.000 0.000
0.000 5.288 0.000
0.000 0.000 5.288
Cu Y Si
1 1 3
Direct
0.500 0.500 0.500
0.000 0.000 0.000
0.000 0.500 0.000
0.500 0.000 0.000
0.000 0.000 0.500
```

---

(5)
First-principles (PBE-GGA) data for an optimized crystal structure of YCu6Si2, as listed in Alexandria via LeMat-Bulk.

**Density of states at the Fermi level**: 0.589 states/eV per atom
**Final energy**: -4.947 eV/atom
**Calculated volume**: 14.181 Å³ per atom

The structure in POSCAR format:
```
YCu6Si2
1.0
-1.922 -3.540 0.151
1.698 -1.071 -3.495
6.060 -3.123 3.901
Y Si Cu
1 2 6
Direct
0.000 0.000 0.000
0.500 0.500 0.151
0.500 0.500 0.849
0.000 0.500 0.694
0.500 0.500 0.500
0.500 0.000 0.694
0.000 0.500 0.306
0.500 0.000 0.306
0.000 0.000 0.500
```

---

(6)
First-principles (PBE-GGA) data for an optimized crystal structure of YCuSi, as listed in Alexandria via LeMat-Bulk.

**Density of states at the Fermi level**: 0.612 states/eV per atom
**Final energy**: -5.416 eV/atom
**Calculated volume**: 19.842 Å³ per atom

The structure in POSCAR format:
```
YCuSi
1.0
4.871 -0.008 0.009
1.784 4.533 -0.009
-3.036 -2.691 2.696
Cu Si Y
1 1 1
Direct
0.016 0.016 0.000
0.316 0.316 0.000
0.668 0.668 0.000
```

---

(7)
First-principles (PBE-GGA) data for an optimized crystal structure of YCuSi, as listed in Alexandria via LeMat-Bulk.

**Density of states at the Fermi level**: 0.729 states/eV per atom
**Final energy**: -5.927 eV/atom
**Calculated volume**: 19.017 Å³ per atom

The structure in POSCAR format:
```
YCuSi
1.0
-2.076 -3.399 0.521
1.063 -1.214 -3.680
4.182 -4.200 4.790
Y Cu Si
2 2 2
Direct
0.578 0.087 0.050
0.328 0.837 0.550
0.914 0.251 0.378
0.743 0.421 0.720
0.994 0.671 0.219
0.163 0.503 0.881
```

---

(8)
First-principles (PBE-GGA) data for an optimized crystal structure of YCuSi, as listed in Alexandria via LeMat-Bulk.

**Density of states at the Fermi level**: 0.393 states/eV per atom
**Final energy**: -5.794 eV/atom
**Calculated volume**: 18.932 Å³ per atom

The structure in POSCAR format:
```
YCuSi
1.0
0.008 1.055 5.519
1.311 -4.999 1.836
3.673 0.410 -1.535
Y Si Cu
2 2 2
Direct
0.359 0.194 0.220
0.889 0.821 0.987
0.960 0.368 0.521
0.537 0.667 0.311
0.305 0.637 0.695
0.725 0.347 0.903
```

---

(9)
First-principles (PBE-GGA) data for an optimized crystal structure of Y3CuSi, as listed in Alexandria via LeMat-Bulk.

**Density of states at the Fermi level**: 1.116 states/eV per atom
**Calculated volume**: 27.896 Å³ per atom
**Relative energy among the computed polymorphs**: 0.000 eV per atom

The structure in POSCAR format:
```
Y3CuSi
1.0
5.186 0.000 0.000
0.000 5.186 0.000
0.000 0.000 5.186
Y Cu Si
3 1 1
Direct
0.000 0.000 0.500
0.500 0.000 0.000
0.000 0.500 0.000
0.000 0.000 0.000
0.500 0.500 0.500
```

---

(10)
First-principles (PBE-GGA) data for an optimized crystal structure of YCu4Si3, as listed in Alexandria via LeMat-Bulk.

**Density of states at the Fermi level**: 0.433 states/eV per atom
**Final energy**: -5.252 eV/atom
**Calculated volume**: 15.206 Å³ per atom

The structure in POSCAR format:
```
YCu4Si3
1.0
-0.127 -3.624 -1.735
3.662 0.610 -1.542
3.096 -3.050 6.146
Si Cu Y
3 4 1
Direct
0.500 0.500 0.655
0.500 0.500 0.345
0.000 0.000 0.000
0.500 0.000 0.175
0.000 0.500 0.175
0.500 0.000 0.825
0.000 0.500 0.825
0.000 0.000 0.500
```

---

(11)
First-principles (PBE-GGA) data for an optimized crystal structure of Y2CuSi, as listed in Alexandria via LeMat-Bulk.

**Density of states at the Fermi level**: 0.572 states/eV per atom
**Final energy**: -5.741 eV/atom
**Calculated volume**: 22.002 Å³ per atom

The structure in POSCAR format:
```
Y2CuSi
1.0
3.321 0.000 0.000
0.000 3.321 0.000
0.000 0.000 7.978
Y Si Cu
2 1 1
Direct
0.000 0.000 0.943
0.500 0.500 0.312
0.500 0.500 0.693
0.000 0.000 0.552
```

---

(12)
First-principles (PBE-GGA) data for an optimized crystal structure of YCuSi, as listed in Alexandria via LeMat-Bulk.

**Density of states at the Fermi level**: 0.406 states/eV per atom
**Final energy**: -5.982 eV/atom
**Calculated volume**: 18.625 Å³ per atom

The structure in POSCAR format:
```
YCuSi
1.0
4.139 0.000 0.000
-2.070 3.585 0.000
0.000 0.000 3.766
Y Si Cu
1 1 1
Direct
0.667 0.333 0.667
0.333 0.667 0.167
0.000 0.000 0.167
```

---

(13)
First-principles (PBE-GGA) data for an optimized crystal structure of Y2Cu15Si2, as listed in Alexandria via LeMat-Bulk.

**Density of states at the Fermi level**: 0.533 states/eV per atom
**Final energy**: -4.625 eV/atom
**Calculated volume**: 13.933 Å³ per atom

The structure in POSCAR format:
```
Y2Cu15Si2
1.0
6.466 -0.024 -0.021
0.815 6.415 -0.021
0.815 0.716 6.375
Si Cu Y
2 15 2
Direct
0.097 0.097 0.097
0.903 0.903 0.903
0.000 0.500 0.000
0.153 0.655 0.655
0.345 0.847 0.345
0.345 0.345 0.847
0.655 0.655 0.153
0.000 0.000 0.500
0.847 0.345 0.345
0.301 0.699 0.000
0.000 0.699 0.301
0.699 0.301 0.000
0.000 0.301 0.699
0.699 0.000 0.301
0.500 0.000 0.000
0.301 0.000 0.699
0.655 0.153 0.655
0.344 0.344 0.344
0.656 0.656 0.656
```

---

(14)
First-principles (PBE-GGA) data for an optimized crystal structure of YCu9Si2, as listed in Alexandria via LeMat-Bulk.

**Density of states at the Fermi level**: 0.568 states/eV per atom
**Final energy**: -4.727 eV/atom
**Calculated volume**: 13.524 Å³ per atom

The structure in POSCAR format:
```
YCu9Si2
1.0
5.838 0.000 2.688
2.919 7.106 1.344
-0.053 0.000 7.799
Si Cu Y
4 18 2
Direct
0.875 0.750 0.250
0.375 0.750 0.750
0.875 0.250 0.250
0.875 0.250 0.750
0.606 0.082 0.327
0.750 0.500 0.500
0.144 0.418 0.173
0.144 0.173 0.418
0.682 0.173 0.582
0.312 0.082 0.673
0.015 0.673 0.918
0.682 0.582 0.173
0.068 0.327 0.918
0.000 0.000 0.000
0.068 0.918 0.327
0.735 0.582 0.827
0.312 0.673 0.082
0.015 0.918 0.673
0.735 0.827 0.582
0.438 0.827 0.418
0.606 0.327 0.082
0.438 0.418 0.827
0.250 0.500 0.500
0.500 0.000 0.000
```

---

(15)
First-principles (PBE-GGA) data for an optimized crystal structure of YCu12Si4, as listed in Alexandria via LeMat-Bulk.

**Density of states at the Fermi level**: 0.602 states/eV per atom
**Final energy**: -4.281 eV/atom
**Calculated volume**: 15.691 Å³ per atom

The structure in POSCAR format:
```
YCu12Si4
1.0
7.024 0.000 0.000
-2.341 6.622 0.000
-2.341 -3.311 5.735
Cu Si Y
12 4 1
Direct
0.195 0.844 0.352
0.844 0.648 0.492
0.648 0.805 0.156
0.648 0.492 0.844
0.805 0.156 0.648
0.508 0.156 0.352
0.352 0.195 0.844
0.844 0.352 0.195
0.352 0.508 0.156
0.156 0.648 0.805
0.156 0.352 0.508
0.492 0.844 0.648
0.000 0.000 0.500
0.500 0.500 0.500
0.500 0.000 0.000
0.000 0.500 0.000
0.000 0.000 0.000
```

---

(16)
First-principles (PBE-GGA) data for an optimized crystal structure of Y2CuSi, as listed in Alexandria via LeMat-Bulk.

**Density of states at the Fermi level**: 0.733 states/eV per atom
**Final energy**: -6.013 eV/atom
**Calculated volume**: 21.650 Å³ per atom

The structure in POSCAR format:
```
Y2CuSi
1.0
-5.679 -1.892 -0.501
-1.963 -5.066 2.563
2.841 5.181 1.081
Si Cu Y
1 1 2
Direct
0.701 0.201 0.500
0.548 0.548 0.000
0.260 0.760 0.500
0.991 0.991 0.000
```

---

(17)
First-principles (PBE-GGA) data for an optimized crystal structure of YCu4Si4, as listed in Alexandria via LeMat-Bulk.

**Density of states at the Fermi level**: 0.422 states/eV per atom
**Final energy**: -5.092 eV/atom
**Calculated volume**: 15.199 Å³ per atom

The structure in POSCAR format:
```
YCu4Si4
1.0
5.785 0.000 0.000
0.000 5.785 0.000
0.000 0.000 8.174
Cu Si Y
8 8 2
Direct
0.267 0.000 0.588
0.500 0.767 0.088
0.000 0.267 0.412
0.000 0.733 0.412
0.500 0.233 0.088
0.233 0.500 0.912
0.767 0.500 0.912
0.733 0.000 0.588
0.000 0.707 0.704
0.707 0.000 0.296
0.293 0.000 0.296
0.793 0.500 0.204
0.000 0.293 0.704
0.500 0.207 0.796
0.207 0.500 0.204
0.500 0.793 0.796
0.000 0.000 0.000
0.500 0.500 0.500
```

---

(18)
First-principles (PBE-GGA) data for an optimized crystal structure of YCuSi, as listed in Alexandria via LeMat-Bulk.

**Density of states at the Fermi level**: 0.351 states/eV per atom
**Final energy**: -5.869 eV/atom
**Calculated volume**: 19.255 Å³ per atom

The structure in POSCAR format:
```
YCuSi
1.0
-3.125 1.559 -2.300
0.237 -4.117 0.687
-6.231 0.475 4.997
Y Si Cu
2 2 2
Direct
0.866 0.138 0.528
0.190 0.300 0.041
0.370 0.890 0.271
0.022 0.717 0.792
0.691 0.551 0.289
0.632 0.021 0.877
```

---

(19)
First-principles (PBE-GGA) data for an optimized crystal structure of Y2CuSi, as listed in Alexandria via LeMat-Bulk.

**Density of states at the Fermi level**: 0.972 states/eV per atom
**Final energy**: -5.870 eV/atom
**Calculated volume**: 24.369 Å³ per atom

The structure in POSCAR format:
```
Y2CuSi
1.0
4.104 0.000 0.000
0.000 4.104 0.000
0.000 0.000 5.786
Y Si Cu
2 1 1
Direct
0.000 0.000 0.875
0.500 0.500 0.376
0.500 0.500 0.875
0.000 0.000 0.374
```

---

(20)
First-principles (PBE-GGA) data for an optimized crystal structure of YCuSi, as listed in Alexandria via LeMat-Bulk.

**Density of states at the Fermi level**: 1.285 states/eV per atom
**Final energy**: -4.086 eV/atom
**Calculated volume**: 34.815 Å³ per atom

The structure in POSCAR format:
```
YCuSi
1.0
3.990 -2.304 0.000
0.000 4.607 0.000
0.000 0.000 11.364
Si Cu Y
2 2 2
Direct
0.000 0.000 0.500
0.000 0.000 0.000
0.667 0.333 0.750
0.333 0.667 0.250
0.000 0.000 0.750
0.000 0.000 0.250
```